1.
TaBe17Rh | PBE-GGA | optimized geometry

Its total energy is -4.551 eV per atom. Its formation energy is -3.9 eV/f.u. As for the symmetry: R3m (160).

```
TaBe17Rh
1.0
5.474 0.015 0.663
0.589 5.443 0.663
0.017 0.015 5.514
Be Rh Ta
17 1 1
direct
0.301 0.705 0.995
0.995 0.301 0.705
0.705 0.995 0.301
0.705 0.301 0.995
0.832 0.352 0.352
0.652 0.143 0.652
0.995 0.705 0.301
0.012 0.012 0.491
0.301 0.995 0.705
0.352 0.352 0.832
0.898 0.898 0.898
0.143 0.652 0.652
0.098 0.098 0.098
0.012 0.491 0.012
0.491 0.012 0.012
0.352 0.832 0.352
0.652 0.652 0.143
0.664 0.664 0.664
0.339 0.339 0.339
```

2.
TaBeRh2 | PBE-GGA | optimized geometry

Its total energy is -8.047 eV per atom. Its formation energy is -1.9 eV/f.u. As for the symmetry: P2_1/m (11).

```
TaBeRh2
1.0
4.798 0.000 0.002
0.000 4.508 0.000
-0.073 0.000 5.152
Be Rh Ta
2 4 2
direct
0.844 0.250 0.507
0.156 0.750 0.493
0.166 0.750 0.988
0.318 0.250 0.701
0.834 0.250 0.012
0.682 0.750 0.299
0.656 0.750 0.770
0.344 0.250 0.230
```